Record 1
Computed, not measured: crystalline Nb3GaH3 at its relaxed geometry at the PBE level of DFT.

Excess energy over the best structure of this formula in the dataset   0.0 meV/atom
Space group   Pm-3n, No. 223
Spin magnetization   0.000 μB per formula unit
DFT total energy   -6.420 eV per atom
Fermi-level density of states   2.010 states/eV/cell

Cell: 5.4216 5.4216 5.4216 Å, 90.00 90.00 90.00°
Fractional coordinates of all 14 atoms:
1 Nb 0.5000 0.0000 0.7500
2 H 0.5000 0.2500 0.0000
3 Ga 0.0000 0.0000 0.0000
4 Nb 0.2500 0.5000 0.0000
5 H 0.7500 0.0000 0.5000
6 Nb 0.0000 0.7500 0.5000
7 Nb 0.5000 0.0000 0.2500
8 Nb 0.7500 0.5000 0.0000
9 H 0.0000 0.5000 0.7500
10 H 0.2500 0.0000 0.5000
11 Nb 0.0000 0.2500 0.5000
12 H 0.5000 0.7500 0.0000
13 H 0.0000 0.5000 0.2500
14 Ga 0.5000 0.5000 0.5000

Record 2
Computed, not measured: crystalline InHg3Cl at its relaxed geometry at the PBE level of DFT.

Excess energy over the best structure of this formula in the dataset   171.3 meV/atom
Formation energy (no corrections)   -86 meV/atom
Space group   Pm-3m, No. 221
Spin magnetization   0.000 μB per formula unit
DFT total energy   -1.184 eV per atom
Fermi-level density of states   0.972 states/eV/cell

Cell: 5.6593 5.6593 5.6593 Å, 90.00 90.00 90.00°
Fractional coordinates of all 5 atoms:
1 Hg 0.0000 0.5000 0.0000
2 Hg 0.5000 0.0000 0.0000
3 In 0.0000 0.0000 0.0000
4 Cl 0.5000 0.5000 0.5000
5 Hg 0.0000 0.0000 0.5000

Record 3
Computed, not measured: crystalline Pm5YIn3 at its relaxed geometry at the PBE level of DFT.

Space group   P6_3/mcm, No. 193
Spin magnetization   0.899 μB per formula unit
Energy relative to the elements   -308 kJ/mol of formula units
DFT total energy   -4.625 eV per atom
Fermi-level density of states   23.795 states/eV/cell

Cell: 6.8838 9.5355 9.5346 Å, 120.00 90.00 90.00°
Site moments in Bohr magnetons follow the coordinates.
Fractional coordinates of all 18 atoms:
1 Pm 0.2500 0.0000 0.6606  0.07
2 Y 0.5000 0.0000 0.0000  0.07
3 Pm 0.0000 0.3334 0.6668  0.11
4 Y 0.0000 0.0000 0.0000  0.07
5 In 0.2500 0.3245 0.0000  0.00
6 Pm 0.5000 0.6666 0.3332  0.11
7 Pm 0.7500 0.3393 0.0000  0.07
8 In 0.2500 0.0000 0.3245  0.00
9 In 0.7500 0.6755 0.0000  0.00
10 Pm 0.5000 0.3334 0.6668  0.11
11 In 0.7500 0.0000 0.6755  0.00
12 Pm 0.7500 0.0000 0.3394  0.07
13 Pm 0.2500 0.3394 0.3394  0.07
14 In 0.2500 0.6756 0.6755  0.00
15 Pm 0.2500 0.6607 0.0000  0.07
16 Pm 0.0000 0.6666 0.3332  0.11
17 In 0.7500 0.3244 0.3245  0.00
18 Pm 0.7500 0.6606 0.6606  0.07

Record 4
Computed, not measured: crystalline GdYAs at its relaxed geometry at the PBE level of DFT.

Space group   P3m1, No. 156
Spin magnetization   8.173 μB per formula unit
Energy relative to the elements   -260 kJ/mol of formula units
DFT total energy   -9.298 eV per atom
Fermi-level density of states   2.844 states/eV/cell

Cell: 6.4909 3.9767 3.9767 Å, 120.00 90.00 90.00°
Site moments in Bohr magnetons follow the coordinates.
Fractional coordinates of all 3 atoms:
1 Y 0.5950 0.6667 0.3333  0.20
2 As 0.3345 0.3333 0.6667  -0.02
3 Gd 0.0705 0.0000 0.0000  7.25

Record 5
Computed, not measured: crystalline ThPaN at its relaxed geometry at the PBE level of DFT.

Excess energy over the best structure of this formula in the dataset   0.0 meV/atom
Formation energy (no corrections)   -727 meV/atom
Space group   P3m1, No. 156
Spin magnetization   0.349 μB per formula unit
DFT total energy   -9.141 eV per atom
Fermi-level density of states   5.757 states/eV/cell

Cell: 6.0111 3.5440 3.5440 Å, 120.00 90.00 90.00°
Site moments in Bohr magnetons follow the coordinates.
Fractional coordinates of all 3 atoms:
1 N 0.3517 0.6667 0.3333  0.01
2 Th 0.0871 0.0000 0.0000  0.09
3 Pa 0.5613 0.3333 0.6667  0.13

Number 1 is which compound? Nb3GaH3